1.
Computed, not measured: a relaxed structure of La2TbPm3Dy6 at the PBE level of DFT.

abc: 6.2589 6.2589 11.8757
angles: 95.03 95.03 119.99
Closest atoms and distances in Å follow each position.
Fractional positions:
La: 0.1664 0.8336 0.0000  6 Dy 3.60-3.61, 3 La 3.61-3.62, 3 Tb 3.61-3.62
La: 0.8336 0.1664 0.0000  6 Dy 3.60-3.61, 3 La 3.61-3.62, 3 Tb 3.61-3.62
Tb: 0.5000 0.5000 0.0000  6 Dy 3.60, 6 La 3.61-3.62
Pm: 0.0000 0.0000 0.5000  6 Dy 3.58, 6 Pm 3.61
Pm: 0.3334 0.6666 0.5000  6 Dy 3.57-3.58, 6 Pm 3.61
Pm: 0.6666 0.3334 0.5000  6 Dy 3.57-3.58, 6 Pm 3.61
Dy: 0.0835 0.4159 0.7486  3 Pm 3.58, 1 Tb 3.60, 6 Dy 3.60-3.62, 2 La 3.60-3.61
Dy: 0.2519 0.2519 0.2516  3 Pm 3.57-3.58, 1 Tb 3.60, 6 Dy 3.60-3.62, 2 La 3.61
Dy: 0.4159 0.0835 0.7486  3 Pm 3.58, 1 Tb 3.60, 6 Dy 3.60-3.62, 2 La 3.60-3.61
Dy: 0.5841 0.9165 0.2514  3 Pm 3.58, 1 Tb 3.60, 6 Dy 3.60-3.62, 2 La 3.60-3.61
Dy: 0.7481 0.7481 0.7484  3 Pm 3.57-3.58, 1 Tb 3.60, 6 Dy 3.60-3.62, 2 La 3.61
Dy: 0.9165 0.5841 0.2514  3 Pm 3.58, 1 Tb 3.60, 6 Dy 3.60-3.62, 2 La 3.60-3.61

Calculated values
E_form ... 0.015 eV/atom
Magnetic moment ... 0.0000 μB per atom
Crystal system ... monoclinic


2.
Computed, not measured: a relaxed structure of LaTb3PmDy at the PBE level of DFT.

abc: 10.4032 10.4032 7.0596
angles: 90.55 90.55 31.73
Closest atoms and distances in Å follow each position.
Fractional positions:
La: 0.1453 0.1453 0.0301  1 Dy 3.05, 2 Tb 3.19-3.33
La: 0.8547 0.8547 0.9699  1 Dy 3.05, 2 Tb 3.19-3.33
Tb: 0.0224 0.0224 0.7395  1 La 3.19, 1 Dy 3.22, 2 Pm 3.23, 1 Tb 3.49
Tb: 0.2797 0.2797 0.7550  3 Dy 3.32-3.54, 3 La 3.33-3.55, 1 Pm 3.34, 3 Tb 3.62-3.67
Tb: 0.3359 0.3359 0.2692  2 Dy 3.43, 2 La 3.57, 4 Tb 3.62-3.79
Tb: 0.6641 0.6641 0.7308  2 Dy 3.43, 2 La 3.57, 4 Tb 3.62-3.79
Tb: 0.7203 0.7203 0.2450  3 Dy 3.32-3.54, 3 La 3.33-3.55, 1 Pm 3.34, 3 Tb 3.62-3.67
Tb: 0.9776 0.9776 0.2605  1 La 3.19, 1 Dy 3.22, 2 Pm 3.23, 1 Tb 3.49
Pm: 0.4464 0.4464 0.7349  3 Tb 3.23-3.34
Pm: 0.5536 0.5536 0.2651  3 Tb 3.23-3.34
Dy: 0.1489 0.1489 0.4615  1 La 3.05, 2 Tb 3.22-3.32
Dy: 0.8511 0.8511 0.5385  1 La 3.05, 2 Tb 3.22-3.32

Calculated values
E_form ... 0.187 eV/atom
Magnetic moment ... 0.0000 μB per atom
Crystal system ... monoclinic


3.
Computed, not measured: a relaxed structure of LaTb2Pm4Dy2 at the PBE level of DFT.

abc: 8.0924 8.0924 8.0878
angles: 107.39 107.39 36.85
Closest atoms and distances in Å follow each position.
Fractional positions:
La: 0.0000 0.0000 0.0000  6 Pm 3.62, 2 Tb 3.63, 4 Dy 3.64
Tb: 0.1114 0.1114 0.6657  7 Pm 3.61-3.62, 3 Dy 3.61-3.62, 1 Tb 3.62, 1 La 3.63
Tb: 0.8886 0.8886 0.3343  7 Pm 3.61-3.62, 3 Dy 3.61-3.62, 1 Tb 3.62, 1 La 3.63
Pm: 0.2228 0.2228 0.3322  3 Dy 3.57-3.62, 3 Tb 3.61-3.62, 5 Pm 3.62-3.63, 1 La 3.62
Pm: 0.4447 0.4447 0.6659  4 Pm 3.60-3.63, 4 Tb 3.61-3.62, 2 La 3.62, 2 Dy 3.64-3.66
Pm: 0.5553 0.5553 0.3341  4 Pm 3.60-3.63, 4 Tb 3.61-3.62, 2 La 3.62, 2 Dy 3.64-3.66
Pm: 0.7772 0.7772 0.6678  3 Dy 3.57-3.62, 3 Tb 3.61-3.62, 5 Pm 3.62-3.63, 1 La 3.62
Dy: 0.3313 0.3313 0.0012  2 Dy 3.57, 5 Pm 3.57-3.66, 3 Tb 3.61-3.62, 2 La 3.64
Dy: 0.6687 0.6687 0.9988  2 Dy 3.57, 5 Pm 3.57-3.66, 3 Tb 3.61-3.62, 2 La 3.64

Calculated values
E_form ... 0.019 eV/atom
Magnetic moment ... 0.0000 μB per atom
Crystal system ... monoclinic


What is the E_form in the first record?
0.015 eV/atom